[1]
Material: YMnTl2
Method: DFT, PBE
State: optimized geometry

formation energy from the elements = 0.06 eV per atom

Lattice parameters (Å, degrees): 4.697 4.697 5.838 66.51 66.51 59.72
Sites, in units of the cell vectors:
Tl (0.018, 0.018, 0.944)
Y (0.250, 0.250, 0.250)
Tl (0.482, 0.482, 0.556)
Mn (0.750, 0.750, 0.750)

[2]
Material: KBeCu2
Method: DFT, PBE
State: optimized geometry

formation energy from the elements = 0.21 eV per atom

Lattice parameters (Å, degrees): 4.056 4.056 6.480 69.82 69.82 60.08
Sites, in units of the cell vectors:
K (0.498, 0.498, 0.498)
Cu (0.678, 0.678, 0.971)
Cu (0.997, 0.997, 0.012)
Be (0.328, 0.328, 0.019)

[3]
Material: Na2AcCl6
Method: DFT, PBE
State: optimized geometry

formation energy from raw total energies = -1.767 eV per atom

Lattice parameters (Å, degrees): 5.008 7.819 8.262 70.84 72.36 71.32
Sites, in units of the cell vectors:
Cl (0.375, 0.722, 0.528)
Cl (0.963, 0.852, 0.222)
Cl (0.037, 0.148, 0.778)
Ac (0.000, 0.500, 0.500)
Cl (0.226, 0.388, 0.160)
Na (0.172, 0.758, 0.898)
Cl (0.625, 0.278, 0.472)
Cl (0.774, 0.612, 0.840)
Na (0.828, 0.242, 0.102)

[4]
Material: KBe2Cr
Method: DFT, PBE
State: optimized geometry

offset from the most stable computed form = 275.2 meV per atom
formation energy from the elements = 0.88 eV per atom

Lattice parameters (Å, degrees): 4.772 4.772 6.441 78.22 78.22 31.35
Sites, in units of the cell vectors:
Be (0.941, 0.941, 0.108)
Cr (0.549, 0.549, 0.327)
K (0.735, 0.735, 0.776)
Be (0.275, 0.275, 0.289)

[5]
Material: SeBr2
Method: DFT, PBE
State: optimized geometry

offset from the most stable computed form = 0.8 meV per atom
formation energy from raw total energies = -0.008 eV per atom

Lattice parameters (Å, degrees): 7.133 7.133 9.204 89.65 89.65 29.96
Sites, in units of the cell vectors:
Br (0.128, 0.128, 0.998)
Br (0.357, 0.357, 0.780)
Se (0.743, 0.743, 0.889)
Se (0.979, 0.979, 0.389)
Br (0.595, 0.595, 0.493)
Br (0.364, 0.364, 0.285)

[6]
Material: DyHo3In3
Method: DFT, PBE
State: optimized geometry

offset from the most stable computed form = 28.2 meV per atom
formation energy from the elements = -0.31 eV per atom

Lattice parameters (Å, degrees): 9.284 9.284 9.284 90.00 90.00 90.00
Sites, in units of the cell vectors:
In (0.376, 0.500, 0.751)
Ho (0.824, 0.324, 0.176)
In (0.876, 0.000, 0.249)
In (0.000, 0.749, 0.624)
Ho (0.576, 0.076, 0.424)
In (0.624, 0.000, 0.749)
In (0.749, 0.624, 0.000)
Ho (0.324, 0.176, 0.824)
Dy (0.574, 0.926, 0.074)
In (0.251, 0.124, 0.500)
Ho (0.424, 0.576, 0.076)
Dy (0.926, 0.074, 0.574)
In (0.500, 0.751, 0.376)
Dy (0.426, 0.426, 0.426)
In (0.500, 0.251, 0.124)
Ho (0.176, 0.824, 0.324)
Ho (0.325, 0.825, 0.675)
Ho (0.924, 0.924, 0.924)
In (0.249, 0.876, 0.000)
Ho (0.175, 0.175, 0.175)
Ho (0.825, 0.675, 0.325)
Ho (0.675, 0.325, 0.825)
Ho (0.076, 0.424, 0.576)
Dy (0.074, 0.574, 0.926)
In (0.124, 0.500, 0.251)
Ho (0.676, 0.676, 0.676)
In (0.751, 0.376, 0.500)
In (0.000, 0.249, 0.876)

[7]
Material: Sr2CdPd5Pt2
Method: DFT, PBE
State: optimized geometry

formation energy from the elements = -0.44 eV per atom

Lattice parameters (Å, degrees): 4.052 9.926 9.926 90.00 90.00 90.00
Sites, in units of the cell vectors:
Pd (0.500, 0.000, 0.500)
Pd (0.500, 0.199, 0.062)
Pt (0.000, 0.625, 0.875)
Sr (0.000, 0.173, 0.327)
Pd (0.500, 0.938, 0.199)
Pt (0.000, 0.375, 0.125)
Pd (0.500, 0.699, 0.438)
Pt (0.000, 0.875, 0.375)
Sr (0.000, 0.827, 0.673)
Pt (0.000, 0.125, 0.625)
Pd (0.500, 0.562, 0.699)
Pd (0.500, 0.062, 0.801)
Pd (0.500, 0.438, 0.301)
Sr (0.000, 0.327, 0.827)
Cd (0.000, 0.500, 0.500)
Pd (0.500, 0.500, 0.000)
Cd (0.000, 0.000, 0.000)
Pd (0.500, 0.301, 0.562)
Pd (0.500, 0.801, 0.938)
Sr (0.000, 0.673, 0.173)

[8]
Material: Ag4Sn2S5
Method: DFT, PBE
State: optimized geometry

formation energy from raw total energies = -0.109 eV per atom

Lattice parameters (Å, degrees): 4.089 4.089 17.751 83.39 83.39 60.00
Sites, in units of the cell vectors:
Sn (0.134, 0.134, 0.597)
S (0.500, 0.500, 0.500)
S (0.229, 0.229, 0.313)
Sn (0.866, 0.866, 0.403)
Ag (0.414, 0.414, 0.758)
S (0.771, 0.771, 0.687)
S (0.633, 0.633, 0.102)
Ag (0.689, 0.689, 0.933)
S (0.367, 0.367, 0.898)
Ag (0.586, 0.586, 0.242)
Ag (0.311, 0.311, 0.067)

[9]
Material: La8Si3I3Cl
Method: DFT, PBE
State: optimized geometry

formation energy from raw total energies = -1.006 eV per atom

Lattice parameters (Å, degrees): 8.775 8.773 9.154 118.62 90.00 120.01
Sites, in units of the cell vectors:
La (0.755, 0.034, 0.287)
La (0.754, 0.508, 0.288)
I (0.000, 0.500, 0.000)
Cl (0.000, 0.000, 0.500)
La (0.720, 0.966, 0.713)
Si (0.000, 0.500, 0.500)
La (0.246, 0.492, 0.712)
La (0.264, 0.529, 0.295)
I (0.000, 0.000, 0.000)
La (0.736, 0.471, 0.705)
La (0.280, 0.034, 0.287)
I (0.500, 0.500, 0.000)
Si (0.500, 0.500, 0.500)
La (0.245, 0.966, 0.713)
Si (0.500, 0.000, 0.500)

[10]
Material: CsTc2SbPd
Method: DFT, PBE
State: optimized geometry

formation energy from raw total energies = 2.880 eV per atom

Lattice parameters (Å, degrees): 4.938 5.992 4.938 90.00 90.00 90.00
Sites, in units of the cell vectors:
Tc (0.000, 0.000, 0.500)
Pd (0.500, 0.500, 0.500)
Tc (0.500, 0.000, 0.000)
Sb (0.000, 0.500, 0.000)
Cs (0.000, 0.000, 0.000)

[11]
Material: BePt4Se
Method: DFT, PBE
State: optimized geometry

formation energy from raw total energies = 0.463 eV per atom

Lattice parameters (Å, degrees): 5.274 5.274 5.274 60.00 60.00 60.00
Sites, in units of the cell vectors:
Pt (0.375, 0.375, 0.375)
Se (0.750, 0.750, 0.750)
Pt (0.375, 0.375, 0.876)
Pt (0.375, 0.876, 0.375)
Pt (0.876, 0.375, 0.375)
Be (0.000, 0.000, 0.000)

[12]
Material: NiP2Cl
Method: DFT, PBE
State: optimized geometry

offset from the most stable computed form = 355.5 meV per atom
formation energy from raw total energies = 0.143 eV per atom

Lattice parameters (Å, degrees): 4.225 4.225 7.923 90.00 90.00 135.32
Sites, in units of the cell vectors:
P (0.000, 0.000, 0.978)
Cl (0.000, 0.000, 0.584)
P (0.500, 0.500, 0.156)
Ni (0.500, 0.500, 0.783)

[13]
Material: CrTe2I
Method: DFT, PBE
State: optimized geometry

offset from the most stable computed form = 260.1 meV per atom
formation energy from raw total energies = 0.047 eV per atom

Lattice parameters (Å, degrees): 6.954 6.886 7.369 67.95 93.21 108.36
Sites, in units of the cell vectors:
Te (0.835, 0.014, 0.055)
Cr (0.510, 0.144, 0.928)
Te (0.339, 0.766, 0.224)
Te (0.478, 0.566, 0.995)
I (0.730, 0.434, 0.582)
Cr (0.564, 0.000, 0.769)
Te (0.199, 0.304, 0.805)
I (0.265, 0.968, 0.526)

[14]
Material: LaPrPdBr
Method: DFT, PBE
State: optimized geometry

formation energy from raw total energies = -1.017 eV per atom

Lattice parameters (Å, degrees): 4.237 4.237 8.323 90.00 104.76 120.00
Sites, in units of the cell vectors:
Br (0.471, 0.133, 0.620)
Pd (0.134, 0.965, 0.115)
Pr (0.937, 0.367, 0.319)
La (0.335, 0.566, 0.916)

[15]
Material: Sc2RhSe
Method: DFT, PBE
State: optimized geometry

offset from the most stable computed form = 87.5 meV per atom
formation energy from raw total energies = -1.030 eV per atom

Lattice parameters (Å, degrees): 3.825 3.825 5.506 90.00 90.00 90.00
Sites, in units of the cell vectors:
Sc (0.500, 0.500, 0.321)
Se (0.000, 0.000, 0.405)
Sc (0.000, 0.000, 0.903)
Rh (0.500, 0.500, 0.871)

[16]
Material: Pr6HgAu5
Method: DFT, PBE
State: optimized geometry

formation energy from the elements = -0.70 eV per atom

Lattice parameters (Å, degrees): 5.324 7.512 9.225 65.97 73.24 90.00
Sites, in units of the cell vectors:
Pr (0.500, 0.258, 0.000)
Pr (0.830, 0.084, 0.339)
Pr (0.500, 0.742, 0.000)
Au (0.000, 0.500, 0.000)
Pr (0.170, 0.423, 0.661)
Pr (0.830, 0.577, 0.339)
Au (0.332, 0.332, 0.336)
Au (0.341, 0.842, 0.317)
Pr (0.170, 0.916, 0.661)
Au (0.668, 0.668, 0.664)
Au (0.659, 0.158, 0.683)
Hg (0.000, 0.000, 0.000)

[17]
Material: CsInTe2
Method: DFT, PBE
State: optimized geometry

formation energy from raw total energies = -0.705 eV per atom

Lattice parameters (Å, degrees): 8.640 8.640 7.840 56.56 56.56 90.00
Sites, in units of the cell vectors:
Te (0.375, 0.467, 0.750)
In (0.250, 0.750, 0.500)
In (0.500, 0.500, 0.000)
Te (0.217, 0.625, 0.250)
Te (0.533, 0.125, 0.250)
Cs (0.750, 0.250, 0.500)
Cs (0.000, 0.000, 0.000)
Te (0.875, 0.783, 0.750)

[18]
Material: LaNbSb2I
Method: DFT, PBE
State: optimized geometry

offset from the most stable computed form = 0.0 meV per atom
formation energy from raw total energies = -0.112 eV per atom

Lattice parameters (Å, degrees): 5.374 5.374 5.550 90.00 90.00 90.00
Sites, in units of the cell vectors:
I (0.000, 0.000, 0.500)
La (0.500, 0.500, 0.500)
Nb (0.000, 0.000, 0.000)
Sb (0.000, 0.500, 0.000)
Sb (0.500, 0.000, 0.000)

[19]
Material: Tb2SmAl3
Method: DFT, PBE
State: optimized geometry

offset from the most stable computed form = 271.2 meV per atom
formation energy from the elements = -0.12 eV per atom

Lattice parameters (Å, degrees): 5.967 10.102 7.853 130.03 112.33 90.00
Sites, in units of the cell vectors:
Al (0.000, 0.000, 0.500)
Tb (0.834, 0.584, 0.167)
Sm (0.500, 0.750, 0.500)
Tb (0.166, 0.416, 0.833)
Tb (0.166, 0.916, 0.833)
Al (0.500, 0.250, 0.000)
Al (0.000, 0.750, 0.000)
Tb (0.834, 0.084, 0.167)
Al (0.500, 0.750, 0.000)
Sm (0.500, 0.250, 0.500)
Al (0.000, 0.500, 0.500)
Al (0.000, 0.250, 0.000)

[20]
Material: GdPuNiOs
Method: DFT, PBE
State: optimized geometry

formation energy from the elements = -0.10 eV per atom

Lattice parameters (Å, degrees): 4.807 4.807 4.807 60.00 60.00 60.00
Sites, in units of the cell vectors:
Ni (0.250, 0.250, 0.250)
Gd (0.500, 0.500, 0.500)
Pu (0.000, 0.000, 0.000)
Os (0.750, 0.750, 0.750)

[21]
Material: LaSmCoPd
Method: DFT, PBE
State: optimized geometry

formation energy from the elements = -0.35 eV per atom

Lattice parameters (Å, degrees): 5.021 5.021 5.021 60.00 60.00 60.00
Sites, in units of the cell vectors:
Pd (0.000, 0.000, 0.000)
La (0.750, 0.750, 0.750)
Co (0.500, 0.500, 0.500)
Sm (0.250, 0.250, 0.250)

[22]
Material: SrCa2La
Method: DFT, PBE
State: optimized geometry

offset from the most stable computed form = 41.6 meV per atom
formation energy from the elements = 0.11 eV per atom

Lattice parameters (Å, degrees): 6.246 6.246 6.246 60.00 60.00 60.00
Sites, in units of the cell vectors:
Ca (0.750, 0.750, 0.750)
La (0.500, 0.500, 0.500)
Sr (0.000, 0.000, 0.000)
Ca (0.250, 0.250, 0.250)

[23]
Material: CaMnCu2Au
Method: DFT, PBE
State: optimized geometry

formation energy from the elements = 0.71 eV per atom

Lattice parameters (Å, degrees): 4.577 5.359 4.577 90.00 90.00 90.00
Sites, in units of the cell vectors:
Cu (0.500, 0.000, 0.000)
Cu (0.000, 0.000, 0.500)
Mn (0.000, 0.000, 0.000)
Au (0.500, 0.500, 0.500)
Ca (0.000, 0.500, 0.000)

[24]
Material: Ba2SrBr
Method: DFT, PBE
State: optimized geometry

offset from the most stable computed form = 452.1 meV per atom
formation energy from raw total energies = -0.298 eV per atom

Lattice parameters (Å, degrees): 6.700 6.700 6.700 60.00 60.00 60.00
Sites, in units of the cell vectors:
Sr (0.500, 0.500, 0.500)
Ba (0.750, 0.750, 0.750)
Ba (0.250, 0.250, 0.250)
Br (0.000, 0.000, 0.000)

[25]
Material: NaMnSe2
Method: DFT, PBE
State: optimized geometry

formation energy from raw total energies = 0.032 eV per atom

Lattice parameters (Å, degrees): 4.535 4.535 4.535 60.00 60.00 60.00
Sites, in units of the cell vectors:
Se (0.250, 0.250, 0.250)
Se (0.750, 0.750, 0.750)
Na (0.000, 0.000, 0.000)
Mn (0.500, 0.500, 0.500)